A plane-wave DFT calculation with GGA-PBE was carried out for an optimized crystal structure of Tb4HgPd.

```
data_Tb4HgPd
_cell_length_a 7.2127
_cell_length_b 7.1912
_cell_length_c 7.0439
_cell_angle_alpha 90.00
_cell_angle_beta 93.41
_cell_angle_gamma 90.00
_space_group_name_H-M_alt 'P 1 21/c 1'
_space_group_IT_number 14
loop_
_space_group_symop_operation_xyz
'x,y,z'
'-x,-y,-z'
'-x,y+1/2,-z+1/2'
'x,-y+1/2,z+1/2'
loop_
_atom_site_label
_atom_site_type_symbol
_atom_site_fract_x
_atom_site_fract_y
_atom_site_fract_z
Tb1 Tb 0.1496 0.1586 0.1749
Tb2 Tb 0.3308 0.6495 0.1276
Hg1 Hg 0.5000 0.0000 0.0000
Pd1 Pd 0.0000 0.0000 0.5000
```

Results
Formation energy from the elements, eV per formula unit: -1.68
Total magnetic moment, μB per cell: 0.0

A plane-wave DFT calculation with GGA-PBE was carried out for an optimized crystal structure of TbHg4Pd7.

```
data_TbHg4Pd7
_cell_length_a 10.6098
_cell_length_b 5.0887
_cell_length_c 10.1344
_cell_angle_alpha 90.00
_cell_angle_beta 121.27
_cell_angle_gamma 90.00
_space_group_name_H-M_alt 'C 1 2/m 1'
_space_group_IT_number 12
loop_
_space_group_symop_operation_xyz
'x,y,z'
'-x,-y,-z'
'-x,y,-z'
'x,-y,z'
'x+1/2,y+1/2,z'
'-x+1/2,-y+1/2,-z'
'-x+1/2,y+1/2,-z'
'x+1/2,-y+1/2,z'
loop_
_atom_site_label
_atom_site_type_symbol
_atom_site_fract_x
_atom_site_fract_y
_atom_site_fract_z
Tb1 Tb 0.0000 0.0000 0.0000
Hg1 Hg 0.0843 0.5000 0.7678
Hg2 Hg 0.2376 0.5000 0.3212
Pd1 Pd 0.0000 0.5000 0.0000
Pd2 Pd 0.0401 0.0000 0.3684
Pd3 Pd 0.1548 0.5000 0.5403
Pd4 Pd 0.2114 0.0000 0.9206
```

Results
Formation energy from the elements, eV per formula unit: -2.08
Total magnetic moment, μB per cell: 0.0

A plane-wave DFT calculation with GGA-PBE was carried out for an optimized crystal structure of TbHg2Pd2.

```
data_TbHg2Pd2
_cell_length_a 5.7339
_cell_length_b 5.7299
_cell_length_c 7.2325
_cell_angle_alpha 90.00
_cell_angle_beta 112.83
_cell_angle_gamma 90.00
_space_group_name_H-M_alt 'C 1 2/m 1'
_space_group_IT_number 12
loop_
_space_group_symop_operation_xyz
'x,y,z'
'-x,-y,-z'
'-x,y,-z'
'x,-y,z'
'x+1/2,y+1/2,z'
'-x+1/2,-y+1/2,-z'
'-x+1/2,y+1/2,-z'
'x+1/2,-y+1/2,z'
loop_
_atom_site_label
_atom_site_type_symbol
_atom_site_fract_x
_atom_site_fract_y
_atom_site_fract_z
Tb1 Tb 0.0000 0.0000 0.0000
Hg1 Hg 0.0000 0.2500 0.5000
Pd1 Pd 0.1006 0.5000 0.1953
```

Results
Formation energy from the elements, eV per formula unit: -1.94
Total magnetic moment, μB per cell: 0.0

A plane-wave DFT calculation with GGA-PBE was carried out for an optimized crystal structure of Tb5Hg2Pd12.

```
data_Tb5Hg2Pd12
_cell_length_a 16.8405
_cell_length_b 5.5964
_cell_length_c 9.7076
_cell_angle_alpha 90.00
_cell_angle_beta 116.53
_cell_angle_gamma 90.00
_space_group_name_H-M_alt 'C 1 2/m 1'
_space_group_IT_number 12
loop_
_space_group_symop_operation_xyz
'x,y,z'
'-x,-y,-z'
'-x,y,-z'
'x,-y,z'
'x+1/2,y+1/2,z'
'-x+1/2,-y+1/2,-z'
'-x+1/2,y+1/2,-z'
'x+1/2,-y+1/2,z'
loop_
_atom_site_label
_atom_site_type_symbol
_atom_site_fract_x
_atom_site_fract_y
_atom_site_fract_z
Tb1 Tb 0.0000 0.0000 0.0000
Tb2 Tb 0.1560 0.5000 0.3719
Tb3 Tb 0.1830 0.5000 0.8751
Hg1 Hg 0.0000 0.2495 0.5000
Pd1 Pd 0.0108 0.5000 0.8699
Pd2 Pd 0.1117 0.0000 0.8175
Pd3 Pd 0.1585 0.2504 0.1086
Pd4 Pd 0.1860 0.2384 0.6303
```

Results
Formation energy from the elements, eV per formula unit: -9.52
Total magnetic moment, μB per cell: 0.0

Sequential calculated volume output: 30.4; 19.5; 21.9; 21.5 A^3/atom